# GGA-PBE La2PaB2N6, relaxed
# - Density: 6.6 g/cm³
# - Formation energy (no corrections): -1.13 eV/atom
# - D(E_F): 6.3 states/eV/cell
# - VASP energy: -8.64 eV/atom
data_La2PaB2N6
_cell_length_a 5.6309
_cell_length_b 5.6309
_cell_length_c 5.5950
_cell_angle_alpha 90.00
_cell_angle_beta 90.00
_cell_angle_gamma 120.00
_symmetry_space_group_name_H-M 'P -3'
_symmetry_Int_Tables_number 147
_symmetry_space_group_name_Hall '-P 3'
loop_
_atom_site_label
_atom_site_fract_x
_atom_site_fract_y
_atom_site_fract_z
La1 0.3333 0.6667 0.3085
Pa1 0.0000 0.0000 0.0000
B1 0.3333 0.6667 0.7867
N1 0.1417 0.3751 0.7684